1.
A plane-wave DFT calculation with PBE was carried out for a relaxed structure of Ba2ScPa3O12.

CIF file:
```
data_Ba2ScPa3O12
_chemical_formula_sum 'Ba6 Sc3 Pa9 O36'
_symmetry_space_group_name_H-M 'R -3 m'
_symmetry_Int_Tables_number 166
_symmetry_space_group_name_Hall '-R 3 2"'
_cell_length_a 8.1129
_cell_length_b 8.1129
_cell_length_c 18.6143
_cell_angle_alpha 90.00
_cell_angle_beta 90.00
_cell_angle_gamma 120.00
loop_
_atom_site_label
_atom_site_type_symbol
_atom_site_fract_x
_atom_site_fract_y
_atom_site_fract_z
Ba1 Ba 0.0000 0.0000 0.1793
Sc1 Sc 0.0000 0.0000 0.5000
Pa1 Pa 0.0000 0.5000 0.0000
O1 O 0.0763 0.5381 0.1073
O2 O 0.0933 0.5466 0.3707
```

Summary:
Fermi-level density of states, states/eV per atom: 0.7719
Formation energy (no corrections), eV/atom: -3.068
Crystal system: trigonal
Calculated density, g cm⁻³: 5.66

=====

2.
A plane-wave DFT calculation with PBE was carried out for a relaxed structure of Ba2ScPaO6.

CIF file:
```
data_Ba2ScPaO6
_chemical_formula_sum 'Ba2 Sc1 Pa1 O6'
_symmetry_space_group_name_H-M 'P 4/m m m'
_symmetry_Int_Tables_number 123
_symmetry_space_group_name_Hall '-P 4 2'
_cell_length_a 4.341
_cell_length_b 4.341
_cell_length_c 8.640
_cell_angle_alpha 90.00
_cell_angle_beta 90.00
_cell_angle_gamma 90.00
loop_
_atom_site_label
_atom_site_type_symbol
_atom_site_fract_x
_atom_site_fract_y
_atom_site_fract_z
Ba1 Ba 0.000 0.000 0.215
Sc1 Sc 0.500 0.500 0.000
Pa1 Pa 0.500 0.500 0.500
O1 O 0.000 0.500 0.000
O2 O 0.000 0.500 0.500
O3 O 0.500 0.500 0.251
```

Summary:
Fermi-level density of states, states/eV per atom: 0.0000
Formation energy (no corrections), eV/atom: -3.324
Crystal system: tetragonal
ΔE to the lowest computed polymorph, meV per atom: 23
Calculated density, g cm⁻³: 6.59

=====

3.
A plane-wave DFT calculation with PBE was carried out for a relaxed structure of Ba4Sc3PaO12.

CIF file:
```
data_Ba4Sc3PaO12
_chemical_formula_sum 'Ba8 Sc6 Pa2 O24'
_symmetry_space_group_name_H-M 'I m -3 m'
_symmetry_Int_Tables_number 229
_symmetry_space_group_name_Hall '-I 4 2 3'
_cell_length_a 8.541
_cell_length_b 8.541
_cell_length_c 8.541
_cell_angle_alpha 90.00
_cell_angle_beta 90.00
_cell_angle_gamma 90.00
loop_
_atom_site_label
_atom_site_type_symbol
_atom_site_fract_x
_atom_site_fract_y
_atom_site_fract_z
Ba1 Ba 0.250 0.250 0.250
Sc1 Sc 0.000 0.000 0.500
Pa1 Pa 0.000 0.000 0.000
O1 O 0.000 0.000 0.252
O2 O 0.000 0.250 0.500
```

Summary:
Fermi-level density of states, states/eV per atom: 0.5527
Formation energy (no corrections), eV/atom: -3.056
Crystal system: cubic
Calculated density, g cm⁻³: 5.90